# 1
A plane-wave DFT calculation with GGA-PBE was carried out for crystalline YSeI3 at its relaxed geometry.

Computed properties:
distance to the lowest polymorph of the same formula: 671 meV per atom
magnetic moment: 0.23 μB/atom
density of states at the Fermi level: 6.93 states/eV/f.u.
formation energy from raw total energies: 149 meV per atom
VASP energy: -13.85 eV/cell

a = 5.750 Å, b = 5.750 Å, c = 5.750 Å
α = 90.00°, β = 90.00°, γ = 90.00°
Space group Pm-3m (No. 221)
One atom of each set of equivalent atoms:
Y 0.000 0.000 0.000 x1
Se 0.500 0.500 0.500 x1
I 0.000 0.500 0.500 x3

***

# 2
A plane-wave DFT calculation with GGA-PBE was carried out for crystalline Y6Se8I at its relaxed geometry.

Computed properties:
magnetic moment: 0.00 μB/atom
density of states at the Fermi level: 3.40 states/eV/f.u.
formation energy from raw total energies: -1710 meV per atom
VASP energy: -93.86 eV/cell

a = 11.2667 Å, b = 11.2667 Å, c = 4.1702 Å
α = 90.00°, β = 90.00°, γ = 120.00°
Space group P-3 (No. 147)
One atom of each set of equivalent atoms:
Y 0.1390 0.6679 0.2528 x6
Se 0.0485 0.3796 0.2462 x6
Se 0.3333 0.6667 0.7514 x2
I 0.0000 0.0000 0.5000 x1

***

# 3
A plane-wave DFT calculation with GGA-PBE was carried out for crystalline Y2SeI at its relaxed geometry.

Computed properties:
distance to the lowest polymorph of the same formula: 0 meV per atom
magnetic moment: 0.00 μB/atom
density of states at the Fermi level: 3.82 states/eV/f.u.
formation energy from raw total energies: -1225 meV per atom
VASP energy: -68.58 eV/cell

a = 3.9504 Å, b = 3.9504 Å, c = 24.0629 Å
α = 90.00°, β = 90.00°, γ = 120.00°
Space group R3m (No. 160, hexagonal axes)
One atom of each set of equivalent atoms:
Y 0.0000 0.0000 0.0000 x3
Y 0.0000 0.0000 0.1926 x3
Se 0.0000 0.0000 0.5968 x3
I 0.0000 0.0000 0.7642 x3

***

# 4
A plane-wave DFT calculation with GGA-PBE was carried out for crystalline YSeI at its relaxed geometry.

Computed properties:
magnetic moment: 0.00 μB/atom
density of states at the Fermi level: 0.00 states/eV/f.u.
formation energy from raw total energies: -1703 meV per atom
VASP energy: -33.21 eV/cell

a = 4.237 Å, b = 5.667 Å, c = 10.410 Å
α = 90.00°, β = 98.08°, γ = 90.00°
Space group P2_1/m (No. 11)
One atom of each set of equivalent atoms:
Y 0.211 0.250 0.388 x2
Se 0.224 0.750 0.423 x2
I 0.363 0.750 0.826 x2

***

# 5
A plane-wave DFT calculation with GGA-PBE was carried out for crystalline ZnSeI2 at its relaxed geometry.

Computed properties:
distance to the lowest polymorph of the same formula: 329 meV per atom
magnetic moment: 0.00 μB/atom
density of states at the Fermi level: 4.30 states/eV/f.u.
formation energy from raw total energies: 497 meV per atom
VASP energy: -23.48 eV/cell

a = 7.546 Å, b = 7.546 Å, c = 7.546 Å
α = 90.00°, β = 90.00°, γ = 90.00°
Space group Fm-3m (No. 225)
One atom of each set of equivalent atoms:
Zn 0.000 0.000 0.000 x4
Se 0.000 0.000 0.500 x4
I 0.250 0.250 0.250 x8

***

# 6
A plane-wave DFT calculation with GGA-PBE was carried out for crystalline Zn2SeI8 at its relaxed geometry.

Computed properties:
magnetic moment: 0.00 μB/atom
formation energy from raw total energies: -239 meV per atom
VASP energy: -42.13 eV/cell

a = 13.176 Å, b = 11.064 Å, c = 7.049 Å
α = 90.00°, β = 99.72°, γ = 90.00°
Space group C2/m (No. 12)
One atom of each set of equivalent atoms:
Zn 0.196 0.000 0.176 x4
Se 0.000 0.000 0.500 x2
I 0.090 0.182 0.299 x8
I 0.110 0.500 0.756 x4
I 0.190 0.000 0.793 x4

***

# 7
A plane-wave DFT calculation with GGA-PBE was carried out for crystalline ZnSe2I at its relaxed geometry.

Computed properties:
distance to the lowest polymorph of the same formula: 225 meV per atom
magnetic moment: 0.00 μB/atom
density of states at the Fermi level: 5.32 states/eV/f.u.
formation energy from raw total energies: 107 meV per atom
VASP energy: -37.46 eV/cell

a = 6.969 Å, b = 6.969 Å, c = 9.779 Å
α = 90.00°, β = 90.00°, γ = 90.00°
Space group I-42d (No. 122)
One atom of each set of equivalent atoms:
Zn 0.000 0.000 0.000 x4
Se 0.182 0.250 0.125 x8
I 0.000 0.000 0.500 x4

***

# 8
A plane-wave DFT calculation with GGA-PBE was carried out for crystalline Zn2SeI2 at its relaxed geometry.

Computed properties:
distance to the lowest polymorph of the same formula: 135 meV per atom
magnetic moment: 0.11 μB/atom
density of states at the Fermi level: 6.05 states/eV/f.u.
formation energy from raw total energies: 260 meV per atom
VASP energy: -15.67 eV/cell

a = 4.980 Å, b = 4.980 Å, c = 11.948 Å
α = 90.00°, β = 90.00°, γ = 90.00°
Space group I4/mmm (No. 139)
One atom of each set of equivalent atoms:
Zn 0.000 0.500 0.250 x4
Se 0.000 0.000 0.000 x2
I 0.000 0.000 0.351 x4

***

# 9
A plane-wave DFT calculation with GGA-PBE was carried out for crystalline Zn3SeI at its relaxed geometry.

Computed properties:
distance to the lowest polymorph of the same formula: 614 meV per atom
magnetic moment: 0.00 μB/atom
density of states at the Fermi level: 2.99 states/eV/f.u.
formation energy from raw total energies: 719 meV per atom
VASP energy: -5.26 eV/cell

a = 5.390 Å, b = 5.390 Å, c = 5.390 Å
α = 90.00°, β = 90.00°, γ = 90.00°
Space group Pm-3m (No. 221)
One atom of each set of equivalent atoms:
Zn 0.000 0.000 0.500 x3
Se 0.500 0.500 0.500 x1
I 0.000 0.000 0.000 x1

***

# 10
A plane-wave DFT calculation with GGA-PBE was carried out for crystalline ZnSeI3 at its relaxed geometry.

Computed properties:
distance to the lowest polymorph of the same formula: 0 meV per atom
magnetic moment: 0.00 μB/atom
density of states at the Fermi level: 2.63 states/eV/f.u.
formation energy from raw total energies: 248 meV per atom
VASP energy: -8.17 eV/cell

a = 5.767 Å, b = 5.767 Å, c = 5.767 Å
α = 90.00°, β = 90.00°, γ = 90.00°
Space group Pm-3m (No. 221)
One atom of each set of equivalent atoms:
Zn 0.000 0.000 0.000 x1
Se 0.500 0.500 0.500 x1
I 0.000 0.500 0.500 x3

***

# 11
A plane-wave DFT calculation with GGA-PBE was carried out for crystalline ZnSe2I at its relaxed geometry.

Computed properties:
distance to the lowest polymorph of the same formula: 663 meV per atom
magnetic moment: 0.00 μB/atom
density of states at the Fermi level: 3.48 states/eV/f.u.
formation energy from raw total energies: 545 meV per atom
VASP energy: -30.45 eV/cell

a = 7.176 Å, b = 7.176 Å, c = 7.176 Å
α = 90.00°, β = 90.00°, γ = 90.00°
Space group Fm-3m (No. 225)
One atom of each set of equivalent atoms:
Zn 0.000 0.000 0.000 x4
Se 0.250 0.250 0.250 x8
I 0.000 0.000 0.500 x4

***

# 12
A plane-wave DFT calculation with GGA-PBE was carried out for crystalline Zn3SeI at its relaxed geometry.

Computed properties:
distance to the lowest polymorph of the same formula: 0 meV per atom
magnetic moment: 0.00 μB/atom
density of states at the Fermi level: 1.41 states/eV/f.u.
formation energy from raw total energies: 105 meV per atom
VASP energy: -8.33 eV/cell

a = 5.205 Å, b = 5.205 Å, c = 5.205 Å
α = 90.00°, β = 90.00°, γ = 90.00°
Space group Pm-3m (No. 221)
One atom of each set of equivalent atoms:
Zn 0.000 0.000 0.500 x3
Se 0.000 0.000 0.000 x1
I 0.500 0.500 0.500 x1

***

# 13
A plane-wave DFT calculation with GGA-PBE was carried out for crystalline ZnSe2I at its relaxed geometry.

Computed properties:
distance to the lowest polymorph of the same formula: 0 meV per atom
magnetic moment: 0.00 μB/atom
density of states at the Fermi level: 3.09 states/eV/f.u.
formation energy from raw total energies: -118 meV per atom
VASP energy: -30.79 eV/cell

a = 3.9478 Å, b = 3.9478 Å, c = 24.5216 Å
α = 90.00°, β = 90.00°, γ = 120.00°
Space group R-3m (No. 166, hexagonal axes)
One atom of each set of equivalent atoms:
Zn 0.0000 0.0000 0.0000 x3
Se 0.0000 0.0000 0.3881 x6
I 0.0000 0.0000 0.5000 x3